[1]
Here is an optimized crystal structure of Nd3Y2S8 from Alexandria. Energies are from PBE-GGA.

Computed properties:
M_tot in μB per cell: 0.0
D(E_F) in states/eV/cell: 17.293
Uncorrected energy in Ha/atom: -0.2369
Calculated density in g/cm³: 3.94
Formation energy without anion corrections in meV/atom: -1812

a b c (Å): 13.9482 8.1325 6.8838
angles (deg): 90.00 110.79 90.00
Last column: nearest neighbours and their distance in Å.
Space group C2/m (No. 12)
One atom of each set of equivalent atoms:
Nd  0.0000  0.0000  0.0000 (multiplicity 2)  6 S 2.80-2.88
Nd  0.0000  0.2641  0.5000 (multiplicity 4)  6 S 2.80-2.85
Y  0.2373  0.5000  0.1547 (multiplicity 4)  6 S 2.71-2.83
S  0.1172  0.5000  0.3892 (multiplicity 4)  1 Y 2.71, 2 Nd 2.80
S  0.1206  0.0000  0.4378 (multiplicity 4)  1 Y 2.80, 3 Nd 2.85-2.88
S  0.1289  0.2331  0.9179 (multiplicity 8)  2 Nd 2.80-2.81, 2 Y 2.81-2.83

[2]
Here is an optimized crystal structure of Ac8FePt2 from Alexandria. Energies are from PBE-GGA.

Computed properties:
M_tot in μB per cell: 0.0
D(E_F) in states/eV/cell: 28.411
ΔH_f (0 K) in eV per atom: -0.322
Uncorrected energy in Ha/atom: -0.1903
Calculated density in g/cm³: 9.02

a b c (Å): 13.9226 7.6456 7.8239
angles (deg): 90.00 90.56 90.00
Last column: nearest neighbours and their distance in Å.
Space group C2/m (No. 12)
One atom of each set of equivalent atoms:
Ac  0.0398  0.2481  0.2501 (multiplicity 8)  1 Fe 2.78
Ac  0.2020  0.0000  0.8959 (multiplicity 4)  1 Fe 2.94, 1 Pt 2.98
Ac  0.2025  0.5000  0.5981 (multiplicity 4)  1 Pt 2.92
Fe  0.0000  0.0000  0.0000 (multiplicity 2)  6 Ac 2.78-2.94
Pt  0.1067  0.0000  0.5537 (multiplicity 4)  6 Ac 2.92-3.19, 1 Pt 3.08

[3]
Here is an optimized crystal structure of GaSiAuF2 from Alexandria. Energies are from PBE-GGA.

Computed properties:
M_tot in μB per cell: 0.0
D(E_F) in states/eV/cell: 0.363
Uncorrected energy in Ha/atom: -0.1537
Calculated density in g/cm³: 7.21
Formation energy without anion corrections in meV/atom: -1089

a b c (Å): 3.8184 3.8184 5.2556
angles (deg): 90.00 90.00 90.00
Last column: nearest neighbours and their distance in Å.
Space group P4/mmm (No. 123)
One atom of each set of equivalent atoms:
Ga  0.0000  0.0000  0.0000 (multiplicity 1)  2 Si 2.63, 4 Au 2.70
Si  0.0000  0.0000  0.5000 (multiplicity 1)  4 F 1.91
Au  0.5000  0.5000  0.0000 (multiplicity 1)  4 Ga 2.70
F  0.0000  0.5000  0.5000 (multiplicity 2)  2 Si 1.91

[4]
Here is an optimized crystal structure of Re2MoSe from Alexandria. Energies are from PBE-GGA.

Computed properties:
M_tot in μB per cell: 0.0
D(E_F) in states/eV/cell: 7.040
Uncorrected energy in Ha/atom: -0.3474
Calculated density in g/cm³: 14.62
Formation energy without anion corrections in meV/atom: 351

a b c (Å): 2.8944 2.8944 25.6991
angles (deg): 90.00 90.00 120.00
Last column: nearest neighbours and their distance in Å.
Space group R-3m (No. 166, hexagonal axes)
One atom of each set of equivalent atoms:
Re  0.0000  0.0000  0.2486 (multiplicity 6)  3 Se 2.69, 3 Mo 2.74-2.75, 6 Re 2.89
Mo  0.0000  0.0000  0.0000 (multiplicity 3)  6 Re 2.75, 6 Mo 2.89
Se  0.0000  0.0000  0.5000 (multiplicity 3)  6 Re 2.69, 6 Se 2.89

[5]
Here is an optimized crystal structure of SiTcNiRh from Alexandria. Energies are from PBE-GGA.

Computed properties:
M_tot in μB per cell: 0.0
D(E_F) in states/eV/cell: 7.282
Uncorrected energy in Ha/atom: -0.2774
Calculated density in g/cm³: 9.31
Formation energy without anion corrections in meV/atom: -318

a b c (Å): 9.1537 2.7387 4.3862
angles (deg): 90.00 111.06 90.00
Last column: nearest neighbours and their distance in Å.
Space group Cm (No. 8)
One atom of each set of equivalent atoms:
Si  0.0000  0.0000  0.0000 (multiplicity 2)  2 Ni 2.35, 2 Tc 2.55, 4 Rh 2.58-2.60
Tc  0.2513  0.5000  0.1752 (multiplicity 2)  3 Si 2.55-2.65, 4 Ni 2.60-2.61, 2 Tc 2.74, 2 Rh 2.77
Ni  0.2884  0.0000  0.7040 (multiplicity 2)  2 Si 2.35, 1 Rh 2.57, 4 Tc 2.60-2.61
Rh  0.0238  0.5000  0.5151 (multiplicity 2)  3 Ni 2.57-2.64, 4 Si 2.58-2.60, 2 Rh 2.74, 2 Tc 2.77

[6]
Here is an optimized crystal structure of Ag2HgBr8 from Alexandria. Energies are from PBE-GGA.

Computed properties:
M_tot in μB per cell: 0.0
D(E_F) in states/eV/cell: 32.985
Uncorrected energy in Ha/atom: -0.0689
Calculated density in g/cm³: 4.49
Formation energy without anion corrections in meV/atom: -111

a b c (Å): 10.7595 10.9803 7.2352
angles (deg): 90.00 113.98 90.00
Last column: nearest neighbours and their distance in Å.
Space group C2/m (No. 12)
One atom of each set of equivalent atoms:
Ag  0.1560  0.0000  0.0972 (multiplicity 4)  3 Br 2.58-2.66
Hg  0.0000  0.0000  0.5000 (multiplicity 2)  4 Br 2.72
Br  0.0485  0.5000  0.6839 (multiplicity 4)  1 Br 2.43
Br  0.0759  0.1685  0.2903 (multiplicity 8)  1 Ag 2.66, 1 Hg 2.72
Br  0.2073  0.5000  0.1244 (multiplicity 4)  1 Ag 2.58

[7]
Here is an optimized crystal structure of DyPuAlAg from Alexandria. Energies are from PBE-GGA.

Computed properties:
M_tot in μB per cell: 23.2
D(E_F) in states/eV/cell: 36.225
ΔH_f (0 K) in eV per atom: -0.117
Uncorrected energy in Ha/atom: -0.2388
Calculated density in g/cm³: 9.27

a b c (Å): 7.2942 7.2942 7.2942
angles (deg): 90.00 90.00 90.00
Last column: nearest neighbours and their distance in Å.
Space group F-43m (No. 216)
One atom of each set of equivalent atoms:
Dy  0.0000  0.0000  0.0000 (multiplicity 4)  4 Ag 3.16, 4 Al 3.16
Pu  0.0000  0.0000  0.5000 (multiplicity 4)  4 Al 3.16, 4 Ag 3.16
Al  0.2500  0.2500  0.7500 (multiplicity 4)  4 Dy 3.16, 4 Pu 3.16
Ag  0.2500  0.2500  0.2500 (multiplicity 4)  4 Dy 3.16, 4 Pu 3.16

[8]
Here is an optimized crystal structure of SiHgRh from Alexandria. Energies are from PBE-GGA.

Computed properties:
M_tot in μB per cell: 0.0
D(E_F) in states/eV/cell: 10.664
Uncorrected energy in Ha/atom: -0.1572
Energy above the most stable polymorph in this dataset in eV/atom: 0.210
Calculated density in g/cm³: 10.40
Formation energy without anion corrections in meV/atom: 81

a b c (Å): 5.9599 5.9599 5.9599
angles (deg): 90.00 90.00 90.00
Last column: nearest neighbours and their distance in Å.
Space group F-43m (No. 216)
One atom of each set of equivalent atoms:
Si  0.0000  0.0000  0.0000 (multiplicity 4)  4 Hg 2.58, 4 Rh 2.58
Hg  0.2500  0.2500  0.2500 (multiplicity 4)  4 Si 2.58
Rh  0.2500  0.2500  0.7500 (multiplicity 4)  4 Si 2.58

[9]
Here is an optimized crystal structure of KV2As2 from Alexandria. Energies are from PBE-GGA.

Computed properties:
M_tot in μB per cell: 1.2
D(E_F) in states/eV/cell: 8.662
ΔH_f (0 K) in eV per atom: -0.386
Uncorrected energy in Ha/atom: -0.2247
Energy above the most stable polymorph in this dataset in eV/atom: 0.000
Calculated density in g/cm³: 4.43

a b c (Å): 3.9269 3.9269 14.1397
angles (deg): 90.00 90.00 90.00
Last column: nearest neighbours and their distance in Å.
Space group I4/mmm (No. 139)
One atom of each set of equivalent atoms:
K  0.0000  0.0000  0.0000 (multiplicity 2)  8 As 3.43
V  0.0000  0.5000  0.2500 (multiplicity 4)  4 As 2.49, 4 V 2.78
As  0.0000  0.0000  0.3582 (multiplicity 4)  4 V 2.49

[10]
Here is an optimized crystal structure of UPaP2N from Alexandria. Energies are from PBE-GGA.

Computed properties:
M_tot in μB per cell: 1.4
D(E_F) in states/eV/cell: 10.403
Uncorrected energy in Ha/atom: -0.3335
Calculated density in g/cm³: 9.49
Formation energy without anion corrections in meV/atom: -1090

a b c (Å): 3.8585 3.8585 12.8138
angles (deg): 90.00 90.00 90.00
Last column: nearest neighbours and their distance in Å.
Space group P4/nmm (No. 129, origin choice 2)
One atom of each set of equivalent atoms:
U  0.2500  0.2500  0.0933 (multiplicity 2)  4 N 2.27
Pa  0.2500  0.2500  0.6084 (multiplicity 2)  6 P 2.68-2.93
P  0.2500  0.2500  0.3797 (multiplicity 2)  5 Pa 2.73-2.93
P  0.2500  0.2500  0.8175 (multiplicity 2)  1 Pa 2.68, 4 U 2.96
N  0.2500  0.7500  0.0000 (multiplicity 2)  4 U 2.27